No. 1
First-principles (GGA-PBE) data for crystalline La5Mg2Sc at its relaxed geometry, as listed in Alexandria via LeMat-Bulk.

Geometry as POSCAR:
```
La5Mg2Sc
1.0
-4.117 4.117 3.830
4.117 -4.117 3.830
4.117 4.117 -3.830
La Mg Sc
5 2 1
Direct
0.000 0.000 0.000
0.499 0.499 0.500
0.499 0.999 0.000
0.999 0.499 0.000
0.999 0.999 0.500
0.499 0.999 0.500
0.999 0.499 0.500
0.498 0.498 0.000
```

## Properties
Formation enthalpy at 0 K = 0.30 kcal/mol of atoms
Crystal system = tetragonal
Symmetry = I4mm (107)



No. 2
First-principles (GGA-PBE) data for crystalline LaMgSc at its relaxed geometry, as listed in Alexandria via LeMat-Bulk.

Geometry as POSCAR:
```
LaMgSc
1.0
5.546 0.000 0.000
0.000 3.759 0.000
-2.764 0.000 8.214
La Mg Sc
2 2 2
Direct
0.000 0.000 0.000
0.336 0.000 0.674
0.518 0.500 0.036
0.819 0.500 0.638
0.167 0.500 0.337
0.666 0.000 0.337
```

## Properties
Formation enthalpy at 0 K = 0.40 kcal/mol of atoms
Crystal system = monoclinic
Relative energy among the computed polymorphs = 0.021 eV per atom
Symmetry = Pm (6)



No. 3
First-principles (GGA-PBE) data for crystalline LaMg3Sc2 at its relaxed geometry, as listed in Alexandria via LeMat-Bulk.

Geometry as POSCAR:
```
LaMg3Sc2
1.0
3.662 0.000 0.000
0.000 3.662 0.000
0.000 0.000 11.502
La Mg Sc
1 3 2
Direct
0.000 0.000 0.000
0.500 0.500 0.197
0.500 0.500 0.500
0.500 0.500 0.803
0.000 0.000 0.348
0.000 0.000 0.652
```

## Properties
Formation enthalpy at 0 K = -1.07 kcal/mol of atoms
Crystal system = tetragonal
Symmetry = P4/mmm (123)



No. 4
First-principles (GGA-PBE) data for crystalline LaMgSc at its relaxed geometry, as listed in Alexandria via LeMat-Bulk.

Geometry as POSCAR:
```
LaMgSc
1.0
5.414 0.000 0.000
-2.707 4.689 0.000
0.000 0.000 3.360
La Mg Sc
1 1 1
Direct
0.000 0.000 0.000
0.667 0.333 0.420
0.333 0.667 0.548
```

## Properties
Formation enthalpy at 0 K = 1.48 kcal/mol of atoms
Crystal system = trigonal
Relative energy among the computed polymorphs = 0.068 eV per atom
Symmetry = P3m1 (156)